# 1
Compound: Y3Mg3AlPt2
Source: OQMD
Functional: GGA-PBE
Structure: optimized geometry

Output
The value obtained for the uncorrected energy is -5.129 eV/atom. For the magnetic moment, the calculation gives 0.02 μB per formula unit. Its mass density is 6.305 Mg/m³. Its symmetry is P-62m.

Cell: 7.465 7.465 4.130 Å, 90.00 90.00 120.00°
Fractional coordinates of all 9 atoms:
Pt 0.667 0.333 0.000
Y 0.581 0.000 0.500
Pt 0.333 0.667 0.000
Y 0.000 0.581 0.500
Mg 0.746 0.746 0.000
Mg 0.000 0.254 0.000
Al 0.000 0.000 0.500
Mg 0.254 0.000 0.000
Y 0.419 0.419 0.500

---

# 2
Compound: Y3Mg3Al2Pt
Source: OQMD
Functional: GGA-PBE
Structure: optimized geometry

Output
The value obtained for the uncorrected energy is -4.716 eV/atom. For the magnetic moment, the calculation gives 0.01 μB per formula unit. Its mass density is 4.719 Mg/m³. Its symmetry is P-62m.

Cell: 7.408 7.408 4.358 Å, 90.00 90.00 120.00°
Fractional coordinates of all 9 atoms:
Al 0.333 0.667 0.000
Y 0.406 0.406 0.500
Mg 0.000 0.237 0.000
Mg 0.763 0.763 0.000
Pt 0.000 0.000 0.500
Mg 0.237 0.000 0.000
Y 0.000 0.594 0.500
Al 0.667 0.333 0.000
Y 0.594 0.000 0.500

---

# 3
Compound: PuMg17Al11
Source: OQMD
Functional: GGA-PBE
Structure: optimized geometry

Output
The value obtained for the uncorrected energy is -2.711 eV/atom. For the magnetic moment, the calculation gives 0.06 μB per formula unit. Its mass density is 2.620 Mg/m³. Its symmetry is Cm.

Cell: 9.114 9.472 9.164 Å, 110.28 108.69 110.01°
Fractional coordinates of all 29 atoms:
Al 0.027 0.635 0.811
Mg 0.996 0.011 0.347
Al 0.359 0.174 0.356
Mg 0.000 0.315 0.603
Al 0.620 0.006 0.813
Al 0.174 0.363 0.364
Mg 0.602 0.995 0.316
Mg 0.650 0.664 0.653
Mg 0.693 0.685 0.299
Mg 0.997 0.009 0.000
Pu 0.825 0.639 0.000
Al 0.641 0.835 0.000
Mg 0.336 0.592 0.000
Mg 0.301 0.990 0.588
Mg 0.995 0.352 0.000
Mg 0.672 0.265 0.674
Mg 0.394 0.385 0.701
Mg 0.358 0.001 0.000
Mg 0.396 0.712 0.397
Mg 0.589 0.315 0.000
Al 0.179 0.183 0.817
Al 0.216 0.824 0.189
Al 0.003 0.818 0.644
Al 0.807 0.193 0.187
Al 0.362 0.366 0.183
Mg 0.287 0.679 0.684
Mg 0.713 0.402 0.412
Al 0.809 0.999 0.636
Mg 0.998 0.591 0.326

---

# 4
Compound: Mg2AlRe
Source: OQMD
Functional: GGA-PBE
Structure: optimized geometry

Output
The value obtained for the uncorrected energy is -4.646 eV/atom. For the magnetic moment, the calculation gives 0.02 μB per formula unit. Its mass density is 6.118 Mg/m³. Its symmetry is I4/mmm.

Cell: 9.140 9.140 9.140 Å, 154.42 154.42 36.48°
Fractional coordinates of all 8 atoms:
Al 0.148 0.148 0.000
Mg 0.366 0.366 0.000
Al 0.852 0.852 0.000
Mg 0.000 0.500 0.500
Re 0.250 0.750 0.500
Re 0.750 0.250 0.500
Mg 0.500 0.000 0.500
Mg 0.634 0.634 0.000

---

# 5
Compound: MgAlRe
Source: OQMD
Functional: GGA-PBE
Structure: optimized geometry

Output
For the magnetic moment, the calculation gives 1.32 μB per formula unit. Its mass density is 6.723 Mg/m³. The value obtained for the distance to the lowest polymorph of the same formula is 0 meV per atom. Its symmetry is F-43m.

Cell: 4.361 4.361 4.361 Å, 60.00 60.00 60.00°
Fractional coordinates of all 3 atoms:
Re 0.000 0.000 0.000
Mg 0.750 0.750 0.750
Al 0.250 0.250 0.250

---

# 6
Compound: MgAlReW
Source: OQMD
Functional: GGA-PBE
Structure: optimized geometry

Output
For the magnetic moment, the calculation gives 0.00 μB per formula unit. Its mass density is 11.373 Mg/m³. The value obtained for the distance to the lowest polymorph of the same formula is 0 meV per atom. Its symmetry is F-43m.

Cell: 4.431 4.431 4.431 Å, 60.00 60.00 60.00°
Fractional coordinates of all 4 atoms:
Al 0.500 0.500 0.500
Mg 0.750 0.750 0.750
W 0.000 0.000 0.000
Re 0.250 0.250 0.250

---

# 7
Compound: MgAlReW
Source: OQMD
Functional: GGA-PBE
Structure: optimized geometry

Output
For the magnetic moment, the calculation gives 0.76 μB per formula unit. Its mass density is 11.259 Mg/m³. The value obtained for the distance to the lowest polymorph of the same formula is 606 meV per atom. Its symmetry is F-43m.

Cell: 4.446 4.446 4.446 Å, 60.00 60.00 60.00°
Fractional coordinates of all 4 atoms:
Re 0.500 0.500 0.500
W 0.000 0.000 0.000
Mg 0.750 0.750 0.750
Al 0.250 0.250 0.250

---

# 8
Compound: TbSmMgAl
Source: OQMD
Functional: GGA-PBE
Structure: optimized geometry

Output
The value obtained for the uncorrected energy is -3.928 eV/atom. For the magnetic moment, the calculation gives 0.00 μB per formula unit. Its mass density is 5.811 Mg/m³. Its symmetry is F-43m.

Cell: 5.262 5.262 5.262 Å, 60.00 60.00 60.00°
Fractional coordinates of all 4 atoms:
Al 0.750 0.750 0.750
Mg 0.250 0.250 0.250
Tb 0.500 0.500 0.500
Sm 0.000 0.000 0.000

---

# 9
Compound: SmTmMgAl
Source: OQMD
Functional: GGA-PBE
Structure: optimized geometry

Output
The value obtained for the uncorrected energy is -3.880 eV/atom. For the magnetic moment, the calculation gives 0.00 μB per formula unit. Its mass density is 6.135 Mg/m³. Its symmetry is F-43m.

Cell: 5.215 5.215 5.215 Å, 60.00 60.00 60.00°
Fractional coordinates of all 4 atoms:
Mg 0.250 0.250 0.250
Al 0.750 0.750 0.750
Sm 0.000 0.000 0.000
Tm 0.500 0.500 0.500

---

# 10
Compound: Sm3Mg3Al2Zn
Source: OQMD
Functional: GGA-PBE
Structure: optimized geometry

Output
The value obtained for the uncorrected energy is -3.382 eV/atom. For the magnetic moment, the calculation gives 0.00 μB per formula unit. Its mass density is 4.886 Mg/m³. Its symmetry is P-62m.

Cell: 7.441 7.441 4.561 Å, 90.00 90.00 120.00°
Fractional coordinates of all 9 atoms:
Zn 0.000 0.000 0.000
Al 0.667 0.333 0.500
Sm 0.000 0.584 0.000
Al 0.333 0.667 0.500
Mg 0.241 0.000 0.500
Sm 0.584 0.000 0.000
Mg 0.759 0.759 0.500
Sm 0.416 0.416 0.000
Mg 0.000 0.241 0.500

---

# 11
Compound: Mg3Ta2Al18
Source: OQMD
Functional: GGA-PBE
Structure: optimized geometry

Output
The value obtained for the uncorrected energy is -4.293 eV/atom. For the magnetic moment, the calculation gives 0.00 μB per formula unit. Its mass density is 3.749 Mg/m³. Its symmetry is Fd-3m.

Cell: 10.487 10.487 10.487 Å, 60.00 60.00 60.00°
Fractional coordinates of all 46 atoms:
Mg 0.750 0.750 0.750
Al 0.948 0.683 0.422
Mg 0.625 0.625 0.625
Al 0.858 0.142 0.142
Al 0.567 0.302 0.828
Al 0.392 0.108 0.392
Al 0.422 0.683 0.948
Ta 0.125 0.625 0.125
Al 0.567 0.828 0.302
Mg 0.625 0.625 0.125
Ta 0.125 0.125 0.125
Al 0.948 0.422 0.683
Al 0.108 0.392 0.392
Al 0.108 0.108 0.392
Al 0.858 0.142 0.858
Al 0.828 0.302 0.302
Al 0.858 0.858 0.142
Al 0.392 0.108 0.108
Al 0.948 0.683 0.948
Ta 0.625 0.125 0.125
Al 0.108 0.392 0.108
Al 0.828 0.567 0.302
Al 0.142 0.858 0.858
Al 0.683 0.948 0.422
Al 0.683 0.422 0.948
Al 0.567 0.302 0.302
Al 0.302 0.828 0.302
Al 0.422 0.948 0.948
Al 0.302 0.567 0.302
Al 0.302 0.567 0.828
Mg 0.625 0.125 0.625
Mg 0.500 0.500 0.500
Al 0.142 0.858 0.142
Al 0.948 0.948 0.422
Al 0.302 0.828 0.567
Al 0.302 0.302 0.828
Al 0.683 0.948 0.948
Al 0.422 0.948 0.683
Al 0.948 0.948 0.683
Al 0.142 0.142 0.858
Al 0.392 0.392 0.108
Mg 0.125 0.625 0.625
Ta 0.125 0.125 0.625
Al 0.302 0.302 0.567
Al 0.948 0.422 0.948
Al 0.828 0.302 0.567

---

# 12
Compound: TbMg3Al2
Source: OQMD
Functional: GGA-PBE
Structure: optimized geometry

Output
The value obtained for the uncorrected energy is -2.856 eV/atom. For the magnetic moment, the calculation gives 0.03 μB per formula unit. Its mass density is 3.514 Mg/m³. Its symmetry is P6/mmm.

Cell: 5.816 5.816 4.611 Å, 90.00 90.00 120.00°
Fractional coordinates of all 6 atoms:
Mg 0.500 0.000 0.500
Mg 0.500 0.500 0.500
Mg 0.000 0.500 0.500
Al 0.667 0.333 0.000
Al 0.333 0.667 0.000
Tb 0.000 0.000 0.000